# 1
Pr3BeGe3: optimized geometry, GGA-PBE. Values from VASP.

## Properties
Energy relative to the elements (eV per formula unit): -4.967
Volume (Å³ per cell): 164.0

```
&SYSTEM
  ibrav = 0, nat = 7, ntyp = 3
/
ATOMIC_SPECIES
Pr 140.91 Pr.upf
Be 9.01 Be.upf
Ge 72.64 Ge.upf
ATOMIC_POSITIONS angstrom
Pr 1.0980 3.5020 5.0330
Pr 2.6738 0.7781 2.7664
Pr 3.7644 4.2719 7.7657
Be 1.6374 1.8265 7.5056
Ge 0.4389 2.7667 2.0117
Ge 3.3702 1.5550 5.9586
Ge 2.0764 2.3890 0.0283
CELL_PARAMETERS angstrom
3.9524 0.0000 -0.8623
-0.2185 4.3107 -1.0014
0.0308 -0.0384 9.6310
```



# 2
SrSiBr: optimized geometry, GGA-PBE. Values from VASP.

## Properties
Volume (Å³ per cell): 110.9
Formation energy without anion corrections (meV per atom): -250

```
&SYSTEM
  ibrav = 0, nat = 3, ntyp = 3
/
ATOMIC_SPECIES
Br 79.90 Br.upf
Si 28.09 Si.upf
Sr 87.62 Sr.upf
ATOMIC_POSITIONS angstrom
Br 0.0000 0.0000 7.1289
Si 0.0000 2.3560 2.9805
Sr 2.0403 1.1780 5.2709
CELL_PARAMETERS angstrom
4.0806 0.0000 0.0000
-2.0403 3.5339 0.0000
0.0000 0.0000 7.6902
```



Question: volume of number 2 (SrSiBr)?
Answer: 110.9 Å³ per cell